A relaxed RbHoAgTe2 crystal, computed with PBE.

Values from the calculation:
- Final energy: -37.45 eV for the cell shown
- ΔE_f (raw): -0.81 eV per atom
- Fermi-level density of states: 3.25 states/eV/cell
- Symmetry: P2/c (13)

Geometry as CIF:
```
data_RbHoAgTe2
_symmetry_space_group_name_H-M 'P 1'
_symmetry_Int_Tables_number 1
_symmetry_space_group_name_Hall 'P 1'
_cell_length_a 4.7777
_cell_length_b 8.5121
_cell_length_c 8.7259
_cell_angle_alpha 90.56
_cell_angle_beta 90.00
_cell_angle_gamma 90.00
loop_
_atom_site_label
_atom_site_type_symbol
_atom_site_fract_x
_atom_site_fract_y
_atom_site_fract_z
Rb1 Rb 0.9907 0.5000 0.2500
Ag1 Ag 0.0000 0.0000 0.0000
Te1 Te 0.5677 0.7567 0.9979
Rb2 Rb 0.0093 0.5000 0.7500
Ag2 Ag 0.0000 0.0000 0.5000
Te2 Te 0.4323 0.2433 0.0021
Te3 Te 0.5677 0.2433 0.5021
Ho1 Ho 0.4998 0.0000 0.2500
Te4 Te 0.4323 0.7567 0.4979
Ho2 Ho 0.5002 0.0000 0.7500
```



A relaxed Pu2PaSe2N2 crystal, computed with PBE.

Values from the calculation:
- Final energy: -71.45 eV for the cell shown
- ΔE_f (raw): -1.38 eV per atom
- Fermi-level density of states: 20.60 states/eV/cell
- Symmetry: I4/mmm (139)

Geometry as CIF:
```
data_Pu2PaSe2N2
_symmetry_space_group_name_H-M 'P 1'
_symmetry_Int_Tables_number 1
_symmetry_space_group_name_Hall 'P 1'
_cell_length_a 4.3782
_cell_length_b 4.3782
_cell_length_c 8.2558
_cell_angle_alpha 105.38
_cell_angle_beta 105.38
_cell_angle_gamma 90.00
loop_
_atom_site_label
_atom_site_type_symbol
_atom_site_fract_x
_atom_site_fract_y
_atom_site_fract_z
Se1 Se 0.1853 0.1853 0.3706
N1 N 0.5000 0.0000 0.0000
Pa1 Pa 0.0000 0.0000 0.0000
N2 N 0.0000 0.5000 0.0000
Pu1 Pu 0.3818 0.3818 0.7637
Pu2 Pu 0.6182 0.6182 0.2363
Se2 Se 0.8147 0.8147 0.6294
```



A relaxed Ac2In3Pb crystal, computed with PBE.

Values from the calculation:
- Final energy: -22.57 eV for the cell shown
- Formation energy from the elements: -0.404 eV per atom
- Fermi-level density of states: 3.08 states/eV/cell
- ΔE to the lowest computed polymorph: 0.038 eV/atom
- Symmetry: Pmm2 (25)

Geometry as CIF:
```
data_Ac2In3Pb
_symmetry_space_group_name_H-M 'P 1'
_symmetry_Int_Tables_number 1
_symmetry_space_group_name_Hall 'P 1'
_cell_length_a 4.6496
_cell_length_b 4.9207
_cell_length_c 8.5747
_cell_angle_alpha 90.00
_cell_angle_beta 90.00
_cell_angle_gamma 90.00
loop_
_atom_site_label
_atom_site_type_symbol
_atom_site_fract_x
_atom_site_fract_y
_atom_site_fract_z
In1 In 0.5000 0.0000 0.1566
Ac1 Ac 0.0000 0.0000 0.4987
Pb1 Pb 0.5000 0.5000 0.3376
In2 In 0.5000 0.5000 0.6763
In3 In 0.5000 0.0000 0.8296
Ac2 Ac 0.0000 0.5000 0.0012
```



A relaxed PuGePt crystal, computed with PBE.

Values from the calculation:
- Final energy: -54.71 eV for the cell shown
- Formation energy from the elements: -0.788 eV per atom
- Fermi-level density of states: 22.98 states/eV/cell
- Symmetry: Imm2 (44)

Geometry as CIF:
```
data_PuGePt
_symmetry_space_group_name_H-M 'P 1'
_symmetry_Int_Tables_number 1
_symmetry_space_group_name_Hall 'P 1'
_cell_length_a 4.3890
_cell_length_b 5.6868
_cell_length_c 5.6868
_cell_angle_alpha 84.79
_cell_angle_beta 67.30
_cell_angle_gamma 67.30
loop_
_atom_site_label
_atom_site_type_symbol
_atom_site_fract_x
_atom_site_fract_y
_atom_site_fract_z
Pu1 Pu 0.0000 0.6002 0.3998
Pt1 Pt 0.2859 0.0261 0.4021
Pt2 Pt 0.7141 0.5979 0.9739
Ge1 Ge 0.8038 0.1794 0.2130
Ge2 Ge 0.1962 0.7870 0.8206
Pu2 Pu 0.5000 0.1889 0.8111
```



A relaxed RbSnPb2I8 crystal, computed with PBE.

Values from the calculation:
- Final energy: -32.43 eV for the cell shown
- ΔE_f (raw): -0.64 eV per atom
- Fermi-level density of states: 3.91 states/eV/cell
- Symmetry: P-1 (2)

Geometry as CIF:
```
data_RbSnPb2I8
_symmetry_space_group_name_H-M 'P 1'
_symmetry_Int_Tables_number 1
_symmetry_space_group_name_Hall 'P 1'
_cell_length_a 7.7802
_cell_length_b 7.4291
_cell_length_c 9.8401
_cell_angle_alpha 89.92
_cell_angle_beta 89.95
_cell_angle_gamma 88.84
loop_
_atom_site_label
_atom_site_type_symbol
_atom_site_fract_x
_atom_site_fract_y
_atom_site_fract_z
Sn1 Sn 0.0000 0.0000 0.0000
I1 I 0.8440 0.2502 0.7863
I2 I 0.1560 0.7498 0.2137
Pb1 Pb 0.4999 0.5001 0.2467
I3 I 0.6718 0.7648 0.9998
I4 I 0.1568 0.7505 0.7866
I5 I 0.8432 0.2495 0.2134
I6 I 0.6240 0.7329 0.4996
Rb1 Rb 0.0000 0.0000 0.5000
Pb2 Pb 0.5001 0.4999 0.7533
I7 I 0.3760 0.2671 0.5004
I8 I 0.3282 0.2352 0.0002
```



A relaxed La5Sb crystal, computed with PBE.

Values from the calculation:
- Final energy: -30.65 eV for the cell shown
- ΔE_f (raw): -0.32 eV per atom
- Fermi-level density of states: 7.47 states/eV/cell
- ΔE to the lowest computed polymorph: 0.053 eV/atom
- Symmetry: Amm2 (38)

Geometry as CIF:
```
data_La5Sb
_symmetry_space_group_name_H-M 'P 1'
_symmetry_Int_Tables_number 1
_symmetry_space_group_name_Hall 'P 1'
_cell_length_a 9.4609
_cell_length_b 9.4609
_cell_length_c 5.5718
_cell_angle_alpha 90.00
_cell_angle_beta 90.00
_cell_angle_gamma 155.69
loop_
_atom_site_label
_atom_site_type_symbol
_atom_site_fract_x
_atom_site_fract_y
_atom_site_fract_z
La1 La 0.3322 0.6678 0.0000
La2 La 0.6465 0.3535 0.0000
La3 La 0.7720 0.2280 0.5000
La4 La 0.4646 0.5354 0.5000
Sb1 Sb 0.1154 0.8846 0.5000
La5 La 0.0027 0.9973 0.0000
```



Which of these has the highest final energy?
Ac2In3Pb